Compound: TbGa2OsO8
Source: Alexandria
Functional: PBE
Structure: optimized geometry

DOS(E_F) in states/eV/f.u.: 2.19
Uncorrected formation energy in eV/f.u.: -20.9

Cell lengths 7.0779, 6.3716, 6.6312 Å; angles 90.00, 96.55, 90.00 degrees
Space group C2/m (No. 12)
Asymmetric unit:
Tb (0.0000, 0.0000, 0.0000) x2
Ga (0.0370, 0.5000, 0.2186) x4
Os (0.0000, 0.0000, 0.5000) x2
O (0.0045, 0.2070, 0.2854) x8
O (0.1808, 0.5000, 0.9922) x4
O (0.2400, 0.5000, 0.4601) x4

***

Compound: LaCrCd4
Source: Alexandria
Functional: PBE
Structure: optimized geometry

DOS(E_F) in states/eV/f.u.: 2.33
ΔH_f (0 K) in eV per atom: 0.032

Cell lengths 8.2825, 8.2825, 8.2825 Å; angles 90.00, 90.00, 90.00 degrees
Space group F-43m (No. 216)
Asymmetric unit:
La (0.0000, 0.0000, 0.0000) x4
Cr (0.2500, 0.2500, 0.2500) x4
Cd (0.1245, 0.1245, 0.6245) x16